Record 1
{"formula": "TcSbPb2", "functional": "PBE", "state": "relaxed", "lattice": [[1.6801, 0.9700, 10.0667], [-1.6801, 0.9700, 10.0667], [0.0000, -1.9400, 10.0667]], "species": ["Tc", "Sb", "Pb", "Pb"], "fractional_positions": [[0.0000, 0.0000, 0.0000], [0.5000, 0.5000, 0.5000], [0.2634, 0.2634, 0.2634], [0.7366, 0.7366, 0.7366]], "e_tot_ev_per_atom": -4.97, "e_form_raw_ev_per_atom": 0.506, "volume_a3_per_atom": 24.61, "sg": "R-3m, No. 166"}

Record 2
{"formula": "Ac3Re5C12", "functional": "PBE", "state": "relaxed", "lattice": [[-6.8418, 6.8418, 6.8418], [6.8418, -6.8418, 6.8418], [6.8418, 6.8418, -6.8418]], "species": ["Ac", "Ac", "Ac", "Ac", "Ac", "Ac", "Ac", "Ac", "Ac", "Ac", "Ac", "Ac", "Re", "Re", "Re", "Re", "Re", "Re", "Re", "Re", "Re", "Re", "Re", "Re", "Re", "Re", "Re", "Re", "Re", "Re", "Re", "Re", "C", "C", "C", "C", "C", "C", "C", "C", "C", "C", "C", "C", "C", "C", "C", "C", "C", "C", "C", "C", "C", "C", "C", "C", "C", "C", "C", "C", "C", "C", "C", "C", "C", "C", "C", "C", "C", "C", "C", "C", "C", "C", "C", "C", "C", "C", "C", "C"], "fractional_positions": [[0.1250, 0.2500, 0.3750], [0.1250, 0.3750, 0.7500], [0.2500, 0.3750, 0.1250], [0.2500, 0.8750, 0.6250], [0.3750, 0.1250, 0.2500], [0.3750, 0.7500, 0.1250], [0.6250, 0.2500, 0.8750], [0.6250, 0.8750, 0.7500], [0.7500, 0.1250, 0.3750], [0.7500, 0.6250, 0.8750], [0.8750, 0.6250, 0.2500], [0.8750, 0.7500, 0.6250], [0.0000, 0.0000, 0.0000], [0.0000, 0.0000, 0.5000], [0.0000, 0.5000, 0.0000], [0.0000, 0.5000, 0.5000], [0.1250, 0.7500, 0.8750], [0.1250, 0.8750, 0.2500], [0.2500, 0.1250, 0.8750], [0.2500, 0.6250, 0.3750], [0.3750, 0.2500, 0.6250], [0.3750, 0.6250, 0.7500], [0.5000, 0.0000, 0.0000], [0.5000, 0.0000, 0.5000], [0.5000, 0.5000, 0.0000], [0.5000, 0.5000, 0.5000], [0.6250, 0.3750, 0.2500], [0.6250, 0.7500, 0.3750], [0.7500, 0.3750, 0.6250], [0.7500, 0.8750, 0.1250], [0.8750, 0.1250, 0.7500], [0.8750, 0.2500, 0.1250], [0.0110, 0.6839, 0.1121], [0.0110, 0.8270, 0.8988], [0.0718, 0.6730, 0.6839], [0.0718, 0.8988, 0.3879], [0.1012, 0.6121, 0.9282], [0.1012, 0.9890, 0.1730], [0.1121, 0.0110, 0.6839], [0.1121, 0.6012, 0.4282], [0.1730, 0.1012, 0.9890], [0.1730, 0.5718, 0.1839], [0.1839, 0.1730, 0.5718], [0.1839, 0.5110, 0.6121], [0.3161, 0.8879, 0.9890], [0.3161, 0.9282, 0.3270], [0.3270, 0.3161, 0.9282], [0.3270, 0.5110, 0.3988], [0.3879, 0.0718, 0.8988], [0.3879, 0.8161, 0.4890], [0.3988, 0.3270, 0.5110], [0.3988, 0.5718, 0.8879], [0.4282, 0.1121, 0.6012], [0.4282, 0.8161, 0.8270], [0.4890, 0.3879, 0.8161], [0.4890, 0.6012, 0.6730], [0.5110, 0.3988, 0.3270], [0.5110, 0.6121, 0.1839], [0.5718, 0.1839, 0.1730], [0.5718, 0.8879, 0.3988], [0.6012, 0.4282, 0.1121], [0.6012, 0.6730, 0.4890], [0.6121, 0.1839, 0.5110], [0.6121, 0.9282, 0.1012], [0.6730, 0.4890, 0.6012], [0.6730, 0.6839, 0.0718], [0.6839, 0.0718, 0.6730], [0.6839, 0.1121, 0.0110], [0.8161, 0.4890, 0.3879], [0.8161, 0.8270, 0.4282], [0.8270, 0.4282, 0.8161], [0.8270, 0.8988, 0.0110], [0.8879, 0.3988, 0.5718], [0.8879, 0.9890, 0.3161], [0.8988, 0.0110, 0.8270], [0.8988, 0.3879, 0.0718], [0.9282, 0.1012, 0.6121], [0.9282, 0.3270, 0.3161], [0.9890, 0.1730, 0.1012], [0.9890, 0.3161, 0.8879]], "e_form_ev_per_atom": 0.78, "e_tot_ev_per_atom": -8.49, "volume_a3_per_atom": 16.01, "sg": "Ia-3d, No. 230"}

Record 3
{"formula": "Dy4Y5Er2", "functional": "PBE", "state": "relaxed", "lattice": [[5.4896, -3.7073, 0.0000], [5.4896, 3.7073, 0.0000], [-2.6096, 0.0000, 8.7457]], "species": ["Dy", "Dy", "Dy", "Dy", "Y", "Y", "Y", "Y", "Y", "Er", "Er"], "fractional_positions": [[0.1703, 0.1703, 0.1214], [0.1807, 0.1807, 0.4989], [0.8193, 0.8193, 0.5011], [0.8297, 0.8297, 0.8786], [0.1517, 0.7092, 0.2189], [0.2908, 0.8483, 0.7811], [0.5000, 0.5000, 0.5000], [0.7092, 0.1517, 0.2189], [0.8483, 0.2908, 0.7811], [0.3553, 0.3553, 0.8784], [0.6447, 0.6447, 0.1216]], "e_form_ev_per_atom": 0.14, "e_tot_ev_per_atom": -5.30, "de_polymorph_ev_per_atom": 0.117, "volume_a3_per_atom": 32.36, "sg": "C2/m, No. 12"}

Record 4
{"formula": "V2CrTc2", "functional": "PBE", "state": "relaxed", "lattice": [[-1.9576, 1.9576, 5.3797], [1.9576, -1.9576, 5.3797], [1.9576, 1.9576, -5.3797]], "species": ["V", "V", "Cr", "Tc", "Tc"], "fractional_positions": [[0.2500, 0.7500, 0.5000], [0.7500, 0.2500, 0.5000], [0.0000, 0.0000, 0.0000], [0.3849, 0.3849, 0.0000], [0.6151, 0.6151, 0.0000]], "e_form_ev_per_atom": 0.54, "e_tot_ev_per_atom": -9.17, "de_polymorph_ev_per_atom": 0.263, "volume_a3_per_atom": 16.49, "sg": "I4/mmm, No. 139"}

Record 5
{"formula": "Dy4Ga3Co", "functional": "PBE", "state": "relaxed", "lattice": [[3.9085, 0.0000, 0.0000], [0.0000, 4.2807, 0.0000], [0.0000, 0.0000, 10.8554]], "species": ["Dy", "Dy", "Dy", "Dy", "Ga", "Ga", "Ga", "Co"], "fractional_positions": [[0.0000, 0.0000, 0.0000], [0.0000, 0.5000, 0.2655], [0.5000, 0.0000, 0.4645], [0.5000, 0.5000, 0.7780], [0.0000, 0.0000, 0.7010], [0.0000, 0.5000, 0.5515], [0.5000, 0.5000, 0.0604], [0.5000, 0.0000, 0.1897]], "e_form_ev_per_atom": -0.50, "e_tot_ev_per_atom": -4.82, "volume_a3_per_atom": 22.70, "sg": "Pmm2, No. 25"}

Record 6
{"formula": "Zr2TaNiCl", "functional": "PBE", "state": "relaxed", "lattice": [[4.8381, 0.0000, 0.0000], [0.0000, 4.8381, 0.0000], [0.0000, 0.0000, 4.0531]], "species": ["Zr", "Zr", "Ta", "Ni", "Cl"], "fractional_positions": [[0.0000, 0.5000, 0.0000], [0.5000, 0.0000, 0.0000], [0.0000, 0.0000, 0.5000], [0.5000, 0.5000, 0.5000], [0.5000, 0.5000, 0.0000]], "e_tot_ev_per_atom": -7.08, "e_form_raw_ev_per_atom": 0.240, "volume_a3_per_atom": 18.97, "sg": "P4/mmm, No. 123"}